No. 1
Material: HRh
Method: DFT, PBE
State: relaxed

Output
total DFT energy (no corrections)	-42.233	eV per cell
M_tot	0.364	μB per atom
calculated volume	72	Å³/cell

Cell lengths 4.157, 4.157, 4.157 Å; angles 90.00, 90.00, 90.00 degrees
Space group F-43m (No. 216)
Inequivalent atoms, fractional coordinates:
H  0.000  0.000  0.000 [4 per cell]
Rh  0.250  0.250  0.750 [4 per cell]

No. 2
Material: H2Rh3
Method: DFT, PBE
State: relaxed

Output
total DFT energy (no corrections)	-170.347	eV per cell
M_tot	0.020	μB per atom
calculated volume	286	Å³/cell

Cell lengths 4.8303, 4.8303, 14.1432 Å; angles 90.00, 90.00, 120.00 degrees
Space group R-3c (No. 167, hexagonal axes)
Inequivalent atoms, fractional coordinates:
H  0.0000  0.0000  0.1588 [12 per cell]
Rh  0.0000  0.3346  0.2500 [18 per cell]

Repeat the second record exactly.
Material: H2Rh3
Method: DFT, PBE
State: relaxed

Output
total DFT energy (no corrections)	-170.347	eV per cell
M_tot	0.020	μB per atom
calculated volume	286	Å³/cell

Cell lengths 4.8303, 4.8303, 14.1432 Å; angles 90.00, 90.00, 120.00 degrees
Space group R-3c (No. 167, hexagonal axes)
Inequivalent atoms, fractional coordinates:
H  0.0000  0.0000  0.1588 [12 per cell]
Rh  0.0000  0.3346  0.2500 [18 per cell]